Here is a relaxed NiIrAu2 crystal from Alexandria via LeMat-Bulk. Energies are from PBE-GGA.

Geometry as POSCAR:
```
NiIrAu2
1.0
-0.798 1.892 -1.856
1.020 -2.416 -0.883
-8.768 -3.701 0.000
Au Ir Ni
2 1 1
direct
0.000 0.000 0.979
0.500 0.500 0.258
0.000 0.000 0.524
0.500 0.500 0.739
```

Output
VASP energy: -5.045 eV/atom
Energy of formation from the pure elements: 255 meV/atom
Energy above the lowest structure with this stoichiometry: 0.096 eV per atom
Density of states at the Fermi level: 1.37 states/eV per atom
Crystal system: orthorhombic
Magnetization: 1.2 Bohr magnetons per cell